--- 1 ---
First-principles (PBE) data for an optimized crystal structure of AgOsRh2, as listed in Alexandria via LeMat-Bulk.

Unit cell a=4.7439 b=4.7439 c=4.8877 alpha=81.21 beta=81.21 gamma=33.39
Fractional coordinates of all 4 atoms:
Os 0.0000 0.0000 0.5000
Rh 0.7443 0.7443 0.2657
Ag 0.5000 0.5000 0.0000
Rh 0.2557 0.2557 0.7343

--- 2 ---
First-principles (PBE) data for an optimized crystal structure of AgOsRh2, as listed in Alexandria via LeMat-Bulk.

Unit cell a=4.4071 b=4.4071 c=4.4071 alpha=60.00 beta=60.00 gamma=60.00
Fractional coordinates of all 4 atoms:
Ag 0.5000 0.5000 0.5000
Os 0.7500 0.7500 0.7500
Rh 0.0000 0.0000 0.0000
Rh 0.2500 0.2500 0.2500

--- 3 ---
First-principles (PBE) data for an optimized crystal structure of AgOsRh2, as listed in Alexandria via LeMat-Bulk.

Unit cell a=9.3250 b=9.3250 c=9.3250 alpha=16.96 beta=16.96 gamma=16.96
Last column: magnetic moment on the atom in μB.
Fractional coordinates of all 4 atoms:
Rh 0.9983 0.9983 0.9983  0.09
Os 0.2554 0.2554 0.2554  0.02
Ag 0.4998 0.4998 0.4998  0.00
Rh 0.7464 0.7464 0.7464  0.52

Most stable structure: 3

--- 1 ---
First-principles (PBE) data for an optimized crystal structure of AgOs2Rh, as listed in Alexandria via LeMat-Bulk.

Unit cell a=7.3258 b=7.3258 c=5.7761 alpha=50.64 beta=50.64 gamma=90.00
Fractional coordinates of all 8 atoms:
Os 0.3750 0.4218 0.7500
Os 0.1718 0.6250 0.2500
Rh 0.5000 0.5000 0.0000
Os 0.8750 0.8282 0.7500
Ag 0.0000 0.0000 0.0000
Ag 0.7500 0.2500 0.5000
Os 0.5782 0.1250 0.2500
Rh 0.2500 0.7500 0.5000

--- 2 ---
First-principles (PBE) data for an optimized crystal structure of AgOs2Rh, as listed in Alexandria via LeMat-Bulk.

Unit cell a=4.4198 b=4.4198 c=4.4198 alpha=60.00 beta=60.00 gamma=60.00
Last column: magnetic moment on the atom in μB.
Fractional coordinates of all 4 atoms:
Rh 0.2500 0.2500 0.2500  0.47
Os 0.7500 0.7500 0.7500  0.13
Os 0.0000 0.0000 0.0000  1.03
Ag 0.5000 0.5000 0.5000  0.02

Most stable structure: 2

--- 1 ---
First-principles (PBE) data for an optimized crystal structure of AgOs2Ru, as listed in Alexandria via LeMat-Bulk.

Unit cell a=4.7740 b=4.7740 c=4.8413 alpha=80.77 beta=80.77 gamma=33.38
Fractional coordinates of all 4 atoms:
Ag 0.7508 0.7508 0.7447
Ru 0.5096 0.5096 0.4861
Os 0.2486 0.2486 0.2420
Os 0.9910 0.9910 0.0273

--- 2 ---
First-principles (PBE) data for an optimized crystal structure of AgOs2Ru, as listed in Alexandria via LeMat-Bulk.

Unit cell a=5.6220 b=5.6220 c=5.6220 alpha=151.81 beta=131.24 gamma=57.28
Fractional coordinates of all 4 atoms:
Ru 0.5292 0.5292 0.0000
Os 0.9713 0.9713 0.0000
Ag 0.2462 0.7462 0.5000
Os 0.7533 0.2533 0.5000

Most stable structure: 1

--- 1 ---
First-principles (PBE) data for an optimized crystal structure of AgOs2Ru, as listed in Alexandria via LeMat-Bulk.

Unit cell a=9.3728 b=9.3728 c=9.3728 alpha=16.80 beta=16.80 gamma=16.80
Fractional coordinates of all 4 atoms:
Ag 0.7500 0.7500 0.7500
Os 0.5061 0.5061 0.5061
Os 0.9939 0.9939 0.9939
Ru 0.2500 0.2500 0.2500

--- 2 ---
First-principles (PBE) data for an optimized crystal structure of AgOs2Ru, as listed in Alexandria via LeMat-Bulk.

Unit cell a=4.8091 b=4.8091 c=4.8091 alpha=132.52 beta=132.52 gamma=69.41
Fractional coordinates of all 4 atoms:
Os 0.2500 0.7500 0.5000
Ag 0.7500 0.2500 0.5000
Ru 0.5000 0.5000 0.0000
Os 0.0000 0.0000 0.0000

--- 3 ---
First-principles (PBE) data for an optimized crystal structure of AgOs2Ru, as listed in Alexandria via LeMat-Bulk.

Unit cell a=2.7174 b=2.7174 c=8.1336 alpha=90.00 beta=90.00 gamma=90.00
Fractional coordinates of all 4 atoms:
Ag 0.5000 0.5000 0.7500
Ru 0.5000 0.5000 0.2500
Os 0.0000 0.0000 0.0191
Os 0.0000 0.0000 0.4809

Most stable structure: 1

--- 1 ---
First-principles (PBE) data for an optimized crystal structure of AgOs2Ru, as listed in Alexandria via LeMat-Bulk.

Unit cell a=2.7463 b=2.7463 c=7.9960 alpha=90.00 beta=90.00 gamma=90.00
Fractional coordinates of all 4 atoms:
Os 0.5000 0.5000 0.2488
Ag 0.5000 0.5000 0.7493
Os 0.0000 0.0000 0.0200
Ru 0.0000 0.0000 0.4819

--- 2 ---
First-principles (PBE) data for an optimized crystal structure of AgOs2Ru, as listed in Alexandria via LeMat-Bulk.

Unit cell a=4.4160 b=4.4160 c=4.4160 alpha=60.00 beta=60.00 gamma=60.00
Last column: magnetic moment on the atom in μB.
Fractional coordinates of all 4 atoms:
Ru 0.0000 0.0000 0.0000  1.24
Ag 0.5000 0.5000 0.5000  0.02
Os 0.7500 0.7500 0.7500  0.22
Os 0.2500 0.2500 0.2500  0.22

Most stable structure: 1

--- 1 ---
First-principles (PBE) data for an optimized crystal structure of AgOs2Ru, as listed in Alexandria via LeMat-Bulk.

Unit cell a=7.2701 b=7.2701 c=5.7584 alpha=50.86 beta=50.86 gamma=90.00
Fractional coordinates of all 8 atoms:
Ag 0.7500 0.2500 0.5000
Os 0.3750 0.4253 0.7500
Os 0.5747 0.1250 0.2500
Ru 0.2500 0.7500 0.5000
Ag 0.0000 0.0000 0.0000
Os 0.1753 0.6250 0.2500
Os 0.8750 0.8247 0.7500
Ru 0.5000 0.5000 0.0000

--- 2 ---
First-principles (PBE) data for an optimized crystal structure of AgOs2Ru, as listed in Alexandria via LeMat-Bulk.

Unit cell a=9.3530 b=9.3530 c=9.3530 alpha=16.88 beta=16.88 gamma=16.88
Fractional coordinates of all 4 atoms:
Ru 0.5057 0.5057 0.5057
Os 0.9941 0.9941 0.9941
Os 0.2499 0.2499 0.2499
Ag 0.7504 0.7504 0.7504

Most stable structure: 2

--- 1 ---
First-principles (PBE) data for an optimized crystal structure of AgOsRu2, as listed in Alexandria via LeMat-Bulk.

Unit cell a=2.7599 b=4.7062 c=4.6637 alpha=90.00 beta=90.00 gamma=90.00
Last column: magnetic moment on the atom in μB.
Fractional coordinates of all 4 atoms:
Os 0.0000 0.5000 0.5000  0.29
Ru 0.5000 0.5000 0.0000  0.34
Ag 0.5000 0.0000 0.5000  0.04
Ru 0.0000 0.0000 0.0000  0.68

--- 2 ---
First-principles (PBE) data for an optimized crystal structure of AgOsRu2, as listed in Alexandria via LeMat-Bulk.

Unit cell a=2.7219 b=4.8367 c=5.4697 alpha=55.10 beta=90.00 gamma=90.00
Fractional coordinates of all 4 atoms:
Ru 0.5000 0.5000 0.0000
Ag 0.5000 0.5000 0.5000
Ru 0.0000 0.0000 0.0000
Os 0.0000 0.0000 0.5000

--- 3 ---
First-principles (PBE) data for an optimized crystal structure of AgOsRu2, as listed in Alexandria via LeMat-Bulk.

Unit cell a=2.7058 b=2.7058 c=9.5465 alpha=90.00 beta=90.00 gamma=118.53
Last column: magnetic moment on the atom in μB.
Fractional coordinates of all 4 atoms:
Ru 0.0000 0.0000 0.9860  0.58
Ru 0.0000 0.0000 0.5140  0.58
Os 0.5000 0.5000 0.7500  0.35
Ag 0.5000 0.5000 0.2500  0.00

Most stable structure: 3

--- 1 ---
First-principles (PBE) data for an optimized crystal structure of Ag2OsRu, as listed in Alexandria via LeMat-Bulk.

Unit cell a=2.7902 b=3.8363 c=5.9866 alpha=90.00 beta=90.00 gamma=90.00
Fractional coordinates of all 4 atoms:
Ag 0.0000 0.0000 0.0009
Ag 0.5000 0.5000 0.2498
Os 0.0000 0.0000 0.5367
Ru 0.5000 0.5000 0.7126

--- 2 ---
First-principles (PBE) data for an optimized crystal structure of Ag2OsRu, as listed in Alexandria via LeMat-Bulk.

Unit cell a=2.7208 b=2.7208 c=9.9407 alpha=90.00 beta=90.00 gamma=119.21
Last column: magnetic moment on the atom in μB.
Fractional coordinates of all 4 atoms:
Ag 0.0000 0.0000 0.9980  0.01
Os 0.5000 0.5000 0.2500  0.06
Ru 0.5000 0.5000 0.7500  0.75
Ag 0.0000 0.0000 0.5020  0.01

--- 3 ---
First-principles (PBE) data for an optimized crystal structure of Ag2OsRu, as listed in Alexandria via LeMat-Bulk.

Unit cell a=7.4451 b=7.4451 c=5.8489 alpha=50.47 beta=50.47 gamma=90.00
Last column: magnetic moment on the atom in μB.
Fractional coordinates of all 8 atoms:
Os 0.0000 0.0000 0.0000  0.78
Ag 0.1225 0.6250 0.2500  0.04
Ag 0.8750 0.8775 0.7500  0.04
Ru 0.2500 0.7500 0.5000  0.69
Os 0.7500 0.2500 0.5000  0.78
Ru 0.5000 0.5000 0.0000  0.69
Ag 0.3750 0.3725 0.7500  0.04
Ag 0.6275 0.1250 0.2500  0.04

Most stable structure: 1

--- 1 ---
First-principles (PBE) data for an optimized crystal structure of Ag2OsRu, as listed in Alexandria via LeMat-Bulk.

Unit cell a=2.7413 b=4.7648 c=5.7571 alpha=56.58 beta=90.00 gamma=90.00
Last column: magnetic moment on the atom in μB.
Fractional coordinates of all 4 atoms:
Ag 0.5000 0.5000 0.0000  0.01
Ag 0.0000 0.0000 0.0000  0.00
Ru 0.0000 0.0000 0.5000  0.33
Os 0.5000 0.5000 0.5000  0.08

--- 2 ---
First-principles (PBE) data for an optimized crystal structure of Ag2OsRu, as listed in Alexandria via LeMat-Bulk.

Unit cell a=9.7685 b=9.7685 c=9.7685 alpha=16.15 beta=16.15 gamma=16.15
Last column: magnetic moment on the atom in μB.
Fractional coordinates of all 4 atoms:
Ag 0.4995 0.4995 0.4995  0.01
Ru 0.7500 0.7500 0.7500  0.43
Ag 0.0005 0.0005 0.0005  0.01
Os 0.2500 0.2500 0.2500  -0.05

Most stable structure: 2

--- 1 ---
First-principles (PBE) data for an optimized crystal structure of Ag2OsRu, as listed in Alexandria via LeMat-Bulk.

Unit cell a=4.7563 b=4.7563 c=4.7563 alpha=129.53 beta=129.53 gamma=74.16
Fractional coordinates of all 4 atoms:
Os 0.5000 0.5000 0.0000
Ag 0.2500 0.7500 0.5000
Ag 0.0000 0.0000 0.0000
Ru 0.7500 0.2500 0.5000

--- 2 ---
First-principles (PBE) data for an optimized crystal structure of Ag2OsRu, as listed in Alexandria via LeMat-Bulk.

Unit cell a=5.2309 b=5.2309 c=2.6531 alpha=90.00 beta=90.00 gamma=119.02
Fractional coordinates of all 4 atoms:
Ru 0.0000 0.5000 0.5000
Os 0.5000 0.0000 0.5000
Ag 0.0000 0.0000 0.0000
Ag 0.5000 0.5000 0.0000

Most stable structure: 1

--- 1 ---
First-principles (PBE) data for an optimized crystal structure of Ag2OsRu, as listed in Alexandria via LeMat-Bulk.

Unit cell a=5.0494 b=5.0494 c=4.7988 alpha=81.34 beta=81.34 gamma=31.40
Last column: magnetic moment on the atom in μB.
Fractional coordinates of all 4 atoms:
Os 0.7500 0.7500 0.7500  0.26
Ru 0.2500 0.2500 0.2500  0.72
Ag 0.0007 0.0007 0.0000  0.02
Ag 0.4993 0.4993 0.5000  0.02

--- 2 ---
First-principles (PBE) data for an optimized crystal structure of Ag2OsRu, as listed in Alexandria via LeMat-Bulk.

Unit cell a=2.7817 b=4.6408 c=4.9419 alpha=90.00 beta=90.00 gamma=90.00
Fractional coordinates of all 4 atoms:
Ag 0.5000 0.5000 0.0000
Os 0.5000 0.0000 0.5000
Ag 0.0000 0.0000 0.0000
Ru 0.0000 0.5000 0.5000

Most stable structure: 1

--- 1 ---
First-principles (PBE) data for an optimized crystal structure of Ag2OsRu, as listed in Alexandria via LeMat-Bulk.

Unit cell a=4.4640 b=4.4640 c=4.4640 alpha=60.00 beta=60.00 gamma=60.00
Fractional coordinates of all 4 atoms:
Os 0.5000 0.5000 0.5000
Ag 0.2500 0.2500 0.2500
Ru 0.0000 0.0000 0.0000
Ag 0.7500 0.7500 0.7500

--- 2 ---
First-principles (PBE) data for an optimized crystal structure of Ag2OsRu, as listed in Alexandria via LeMat-Bulk.

Unit cell a=5.5566 b=5.5566 c=5.5566 alpha=150.72 beta=128.57 gamma=60.29
Fractional coordinates of all 4 atoms:
Os 0.4817 0.4817 0.0000
Ag 0.7421 0.2421 0.5000
Ag 0.0074 0.0074 0.0000
Ru 0.2688 0.7688 0.5000

--- 3 ---
First-principles (PBE) data for an optimized crystal structure of Ag2OsRu, as listed in Alexandria via LeMat-Bulk.

Unit cell a=4.4754 b=4.4754 c=4.4754 alpha=60.00 beta=60.00 gamma=60.00
Fractional coordinates of all 4 atoms:
Os 0.5000 0.5000 0.5000
Ag 0.0000 0.0000 0.0000
Ru 0.2500 0.2500 0.2500
Ag 0.7500 0.7500 0.7500

Most stable structure: 2